DFT (PBE-GGA) results for an optimized crystal structure of Ba2YSe2.

The total energy is -0.1761 Ha/atom. For the mass density, the calculation gives 5.3 g/cm3. The value obtained for the formation energy from raw total energies is -1.34 eV/atom.

Lattice parameters (Å, degrees): 8.386 8.386 4.636 90.00 90.00 90.00
Last column: magnetic moment on the atom in μB.
Atoms (fractional coordinates):
Y  0.000  0.000  0.000  0.31
Y  0.500  0.500  0.000  0.30
Ba  0.151  0.651  0.500  0.07
Ba  0.651  0.849  0.500  0.07
Ba  0.849  0.349  0.500  0.07
Ba  0.349  0.151  0.500  0.07
Se  0.336  0.836  0.000  -0.01
Se  0.836  0.664  0.000  -0.01
Se  0.664  0.164  0.000  -0.01
Se  0.164  0.336  0.000  -0.01

=====

DFT (PBE-GGA) results for an optimized crystal structure of BaPrAgO3.

The total energy is -0.2321 Ha/atom. For the mass density, the calculation gives 5.8 g/cm3. The value obtained for the formation energy from raw total energies is -2.24 eV/atom.

Lattice parameters (Å, degrees): 3.822 10.310 7.075 116.80 90.00 90.00
Atoms (fractional coordinates):
Ba  0.250  0.312  0.273
Ba  0.750  0.688  0.727
Pr  0.250  0.663  0.198
Pr  0.750  0.337  0.802
Ag  0.250  0.996  0.695
Ag  0.750  0.004  0.305
O  0.750  0.779  0.135
O  0.250  0.221  0.865
O  0.250  0.771  0.568
O  0.750  0.229  0.432
O  0.750  0.499  0.196
O  0.250  0.501  0.804

=====

DFT (PBE-GGA) results for an optimized crystal structure of RbSn2Te4Pb.

The total energy is -0.1308 Ha/atom. For the mass density, the calculation gives 6.0 g/cm3. The value obtained for the formation energy from raw total energies is -0.40 eV/atom.

Lattice parameters (Å, degrees): 9.327 9.327 9.052 119.03 119.03 89.99
Atoms (fractional coordinates):
Rb  0.000  0.500  0.000
Rb  0.000  0.500  0.500
Sn  0.500  0.000  0.000
Sn  0.500  0.000  0.500
Sn  0.000  0.000  0.500
Sn  0.500  0.500  0.000
Te  0.285  0.780  0.033
Te  0.720  0.215  0.467
Te  0.280  0.785  0.533
Te  0.715  0.220  0.967
Te  0.735  0.765  0.005
Te  0.735  0.765  0.495
Te  0.265  0.235  0.505
Te  0.265  0.235  0.995
Pb  0.500  0.500  0.500
Pb  0.000  0.000  0.000

=====

DFT (PBE-GGA) results for an optimized crystal structure of CaEuAgP.

The total energy is -0.2133 Ha/atom. For the mass density, the calculation gives 5.7 g/cm3. The formation energy comes out at -2.677 eV per formula unit.

Lattice parameters (Å, degrees): 5.151 5.151 5.151 60.00 60.00 60.00
Last column: magnetic moment on the atom in μB.
Atoms (fractional coordinates):
Eu  0.000  0.000  0.000  6.82
P  0.250  0.250  0.250  -0.05
Ca  0.500  0.500  0.500  0.02
Ag  0.750  0.750  0.750  0.00

=====

DFT (PBE-GGA) results for an optimized crystal structure of NaZrIrSe2.

The total energy is -0.1819 Ha/atom. For the mass density, the calculation gives 5.8 g/cm3. The value obtained for the formation energy from raw total energies is 0.19 eV/atom.

Lattice parameters (Å, degrees): 5.209 4.894 5.209 90.00 90.00 90.00
Last column: magnetic moment on the atom in μB.
Atoms (fractional coordinates):
Na  0.500  0.500  0.500  0.01
Ir  0.000  0.000  0.000  -0.06
Se  0.000  0.000  0.500  -0.04
Se  0.500  0.000  0.000  -0.09
Zr  0.000  0.500  0.000  0.73

=====

DFT (PBE-GGA) results for an optimized crystal structure of Y5PuRh6.

The total energy is -0.3057 Ha/atom. For the mass density, the calculation gives 8.9 g/cm3. The formation energy comes out at -9.073 eV per formula unit.

Lattice parameters (Å, degrees): 4.815 6.999 7.627 90.00 71.60 90.00
Last column: magnetic moment on the atom in μB.
Atoms (fractional coordinates):
Y  0.667  0.500  0.666  0.01
Y  0.333  0.000  0.334  0.02
Y  0.000  0.500  0.000  0.01
Y  0.667  0.000  0.666  0.02
Y  0.333  0.500  0.334  0.01
Rh  0.835  0.751  0.330  -0.06
Rh  0.835  0.249  0.330  -0.06
Rh  0.500  0.247  0.000  -0.10
Rh  0.500  0.753  0.000  -0.10
Rh  0.165  0.751  0.670  -0.06
Rh  0.165  0.249  0.670  -0.06
Pu  0.000  0.000  0.000  4.94

=====

DFT (PBE-GGA) results for an optimized crystal structure of TbHoCI.

The total energy is -0.2109 Ha/atom. For the mass density, the calculation gives 8.4 g/cm3. The value obtained for the formation energy from raw total energies is -0.74 eV/atom.

Lattice parameters (Å, degrees): 3.761 3.761 7.735 90.00 104.07 120.00
Atoms (fractional coordinates):
Tb  0.521  0.159  0.695
Ho  0.082  0.939  0.036
C  0.308  0.552  0.875
I  0.966  0.381  0.363

=====

DFT (PBE-GGA) results for an optimized crystal structure of CaCoAu2.

The total energy is -0.1513 Ha/atom. For the mass density, the calculation gives 9.8 g/cm3. The formation energy comes out at -0.804 eV per formula unit. The value obtained for the distance to the lowest polymorph of the same formula is 0.000 eV/atom.

Lattice parameters (Å, degrees): 5.479 5.479 5.479 48.20 48.20 48.20
Last column: magnetic moment on the atom in μB.
Atoms (fractional coordinates):
Co  0.750  0.750  0.750  1.77
Ca  0.250  0.250  0.250  -0.01
Au  0.041  0.041  0.041  0.05
Au  0.459  0.459  0.459  0.05

=====

DFT (PBE-GGA) results for an optimized crystal structure of Er2Zn2FeRh5.

The total energy is -0.2270 Ha/atom. For the mass density, the calculation gives 10.5 g/cm3. The formation energy comes out at -4.871 eV per formula unit.

Lattice parameters (Å, degrees): 3.473 9.716 9.716 90.00 90.00 90.00
Last column: magnetic moment on the atom in μB.
Atoms (fractional coordinates):
Er  0.000  0.672  0.172  -0.08
Er  0.000  0.328  0.828  -0.08
Er  0.000  0.172  0.328  -0.08
Er  0.000  0.828  0.672  -0.08
Zn  0.000  0.128  0.628  0.00
Zn  0.000  0.872  0.372  0.00
Zn  0.000  0.628  0.872  0.00
Zn  0.000  0.372  0.128  0.00
Fe  0.000  0.000  0.000  3.19
Fe  0.000  0.500  0.500  3.19
Rh  0.500  0.196  0.064  0.29
Rh  0.500  0.804  0.936  0.29
Rh  0.500  0.064  0.804  0.29
Rh  0.500  0.696  0.436  0.29
Rh  0.500  0.936  0.196  0.29
Rh  0.500  0.304  0.564  0.29
Rh  0.500  0.564  0.696  0.29
Rh  0.500  0.436  0.304  0.29
Rh  0.500  0.500  0.000  0.06
Rh  0.500  0.000  0.500  0.06

=====

DFT (PBE-GGA) results for an optimized crystal structure of SrAl3As.

The total energy is -0.1199 Ha/atom. For the mass density, the calculation gives 3.0 g/cm3. The formation energy comes out at 1.248 eV per formula unit. The value obtained for the distance to the lowest polymorph of the same formula is 0.000 eV/atom.

Lattice parameters (Å, degrees): 5.116 5.116 5.116 90.00 90.00 90.00
Atoms (fractional coordinates):
Sr  0.500  0.500  0.500
As  0.000  0.000  0.000
Al  0.000  0.500  0.000
Al  0.000  0.000  0.500
Al  0.500  0.000  0.000

=====

DFT (PBE-GGA) results for an optimized crystal structure of TmPuCu2O8.

The total energy is -0.2612 Ha/atom. For the mass density, the calculation gives 7.3 g/cm3. The value obtained for the formation energy from raw total energies is -1.55 eV/atom.

Lattice parameters (Å, degrees): 5.833 5.833 5.833 110.05 110.05 108.31
Last column: magnetic moment on the atom in μB.
Atoms (fractional coordinates):
Tm  0.000  0.000  0.000  0.07
Pu  0.250  0.750  0.500  -0.30
Cu  0.750  0.250  0.500  0.46
Cu  0.500  0.500  0.000  0.12
O  0.371  0.046  0.325  0.17
O  0.295  0.497  0.202  0.04
O  0.295  0.092  0.798  0.04
O  0.720  0.046  0.675  0.17
O  0.908  0.705  0.202  0.04
O  0.954  0.280  0.325  0.17
O  0.954  0.629  0.675  0.17
O  0.503  0.705  0.798  0.04

=====

DFT (PBE-GGA) results for an optimized crystal structure of Pa2Tc12P7.

The total energy is -0.3395 Ha/atom. For the mass density, the calculation gives 9.8 g/cm3. The formation energy comes out at -12.763 eV per formula unit.

Lattice parameters (Å, degrees): 3.944 9.570 9.570 120.00 90.00 90.00
Atoms (fractional coordinates):
Pa  0.500  0.000  0.000
Pa  0.000  0.667  0.333
Tc  0.500  0.899  0.617
Tc  0.500  0.717  0.101
Tc  0.500  0.383  0.283
Tc  0.500  0.240  0.785
Tc  0.500  0.545  0.760
Tc  0.500  0.215  0.455
Tc  0.000  0.057  0.544
Tc  0.000  0.487  0.943
Tc  0.000  0.456  0.513
Tc  0.000  0.767  0.727
Tc  0.000  0.960  0.233
Tc  0.000  0.273  0.040
P  0.000  0.333  0.667
P  0.000  0.042  0.784
P  0.000  0.742  0.958
P  0.000  0.216  0.258
P  0.500  0.623  0.555
P  0.500  0.932  0.377
P  0.500  0.445  0.068

=====

> Look up the mass density of the third one.

6.0 g/cm3

=====

What did the eleventh record say?
DFT (PBE-GGA) results for an optimized crystal structure of TmPuCu2O8.

The total energy is -0.2612 Ha/atom. For the mass density, the calculation gives 7.3 g/cm3. The value obtained for the formation energy from raw total energies is -1.55 eV/atom.

Lattice parameters (Å, degrees): 5.833 5.833 5.833 110.05 110.05 108.31
Last column: magnetic moment on the atom in μB.
Atoms (fractional coordinates):
Tm  0.000  0.000  0.000  0.07
Pu  0.250  0.750  0.500  -0.30
Cu  0.750  0.250  0.500  0.46
Cu  0.500  0.500  0.000  0.12
O  0.371  0.046  0.325  0.17
O  0.295  0.497  0.202  0.04
O  0.295  0.092  0.798  0.04
O  0.720  0.046  0.675  0.17
O  0.908  0.705  0.202  0.04
O  0.954  0.280  0.325  0.17
O  0.954  0.629  0.675  0.17
O  0.503  0.705  0.798  0.04